# ZrSnP2Cl, optimized geometry, DFT PBE-GGA
data_ZrSnP2Cl
_chemical_formula_sum 'Zr1 Sn1 P2 Cl1'
_symmetry_space_group_name_H-M 'P 4/m m m'
_symmetry_Int_Tables_number 123
_symmetry_space_group_name_Hall '-P 4 2'
_cell_length_a 5.0967
_cell_length_b 5.0967
_cell_length_c 4.9594
_cell_angle_alpha 90.00
_cell_angle_beta 90.00
_cell_angle_gamma 90.00
loop_
_atom_site_label
_atom_site_type_symbol
_atom_site_fract_x
_atom_site_fract_y
_atom_site_fract_z
Zr1 Zr 0.0000 0.0000 0.0000
Sn1 Sn 0.5000 0.5000 0.5000
P1 P 0.0000 0.5000 0.0000
Cl1 Cl 0.0000 0.0000 0.5000
# Formation energy from raw total energies, meV/atom: -217
# Offset from the most stable computed form, eV/atom: 0.000
# DOS(E_F), states/eV/f.u.: 3.00